Below is a relaxed structure of LaY2PO, with properties calculated at the PBE-GGA level.

It has space group P4/mmm (No. 123), with a = 5.839 Å, b = 5.839 Å, c = 4.229 Å, α = 90.00°, β = 90.00° and γ = 90.00°. The distinct sites, in fractional coordinates, are La at (0.000, 0.000, 0.000), Y at (0.000, 0.500, 0.000), P at (0.500, 0.500, 0.500) and O at (0.000, 0.000, 0.500).

The uncorrected formation energy comes out at -40 meV per atom.